5
Lattice="4.0498 0.0000 0.0000 0.0000 4.0498 0.0000 0.0000 0.0000 4.0498" Properties=species:S:1:pos:R:3 comment="GGA+U MgMnF3, relaxed" polymorph_energy_ev_per_atom=0.000 dos_at_fermi_per_ev_fu=0.9 magmom_total_mub_per_atom=1.167 dft_energy_ev_per_atom=-5.40 pbc="T T T"
Mg 0.0000 0.0000 0.0000
Mn 2.0249 2.0249 2.0249
F 0.0000 0.0000 2.0249
F 0.0000 2.0249 0.0000
F 2.0249 0.0000 0.0000